# Sc2IrOs

Sc2IrOs after structural relaxation (PBE, the Alexandria database).

Calculated values
Space-group type = R-3m (166)
ΔE_f = -27.5 kJ/mol of atoms
Spin magnetization = 0.00 μB per formula unit
Theoretical density = 11.5 g/cm3

a b c (Å): 8.6854 8.6854 8.6854
angles (deg): 20.19 20.19 20.19
Sites, in units of the cell vectors:
Sc 0.5004 0.5004 0.5004
Sc 0.9996 0.9996 0.9996
Os 0.2500 0.2500 0.2500
Ir 0.7500 0.7500 0.7500


# Sc4IrOs2

Sc4IrOs2 after structural relaxation (PBE, the Alexandria database).

Calculated values
Space-group type = I4/mmm (139)
ΔE_f = -49.5 kJ/mol of atoms
Spin magnetization = 0.00 μB per formula unit
Theoretical density = 9.5 g/cm3

a b c (Å): 5.5542 5.5542 5.5542
angles (deg): 109.28 109.57 109.57
Sites, in units of the cell vectors:
Sc 0.5000 0.0000 0.0000
Sc 0.0000 0.0000 0.5000
Os 0.5000 0.5000 0.0000
Sc 0.0000 0.5000 0.0000
Ir 0.0000 0.0000 0.0000
Os 0.5000 0.0000 0.5000
Sc 0.5000 0.5000 0.5000


# Sc2IrOs

Sc2IrOs after structural relaxation (PBE, the Alexandria database).

Calculated values
Space-group type = Pmm2 (25)
ΔE_f = -32.1 kJ/mol of atoms
Spin magnetization = 0.00 μB per formula unit
Theoretical density = 11.3 g/cm3

a b c (Å): 2.9097 4.3805 5.4369
angles (deg): 90.00 90.00 90.00
Sites, in units of the cell vectors:
Sc 0.0000 0.0000 0.9596
Sc 0.5000 0.5000 0.2904
Ir 0.0000 0.0000 0.4646
Os 0.5000 0.5000 0.7854


# ScIr4Os

ScIr4Os after structural relaxation (PBE, the Alexandria database).

Calculated values
Space-group type = F-43m (216)
ΔE_f = 9.5 kJ/mol of atoms
Spin magnetization = 1.82 μB per formula unit
Theoretical density = 17.2 g/cm3

a b c (Å): 5.1612 5.1612 5.1612
angles (deg): 60.00 60.00 60.00
Last column: magnetic moment on the atom in μB.
Sites, in units of the cell vectors:
Ir 0.3754 0.3754 0.3754  0.21
Sc 0.0000 0.0000 0.0000  0.03
Os 0.7500 0.7500 0.7500  0.88
Ir 0.3754 0.8739 0.3754  0.21
Ir 0.3754 0.3754 0.8739  0.21
Ir 0.8739 0.3754 0.3754  0.21


no.,E_tot (eV/atom)
1,-8.47
2,-8.61
3,-8.52
4,-8.74